{
  "formula": "Ba2CrF",
  "functional": "PBE with a Hubbard U",
  "state": "optimized geometry",
  "cell": [[8.0465, 0.0000, 0.0000], [0.0000, 8.0465, 0.0000], [4.0233, 4.0233, 4.6622]],
  "species": ["Cr", "Cr", "Ba", "Ba", "Ba", "Ba", "F", "F"],
  "fractional_positions": [[0.0000, 0.0000, 0.0000], [0.7500, 0.2500, 0.5000], [0.5382, 0.1250, 0.2500], [0.2118, 0.6250, 0.2500], [0.3750, 0.4618, 0.7500], [0.8750, 0.7882, 0.7500], [0.5000, 0.5000, 0.0000], [0.2500, 0.7500, 0.5000]],
  "n_ef_per_ev_atom": 0.52,
  "de_polymorph_mev_per_atom": 0
}